Record 1
{
  "formula": "Y4HgRh",
  "functional": "PBE",
  "state": "relaxed",
  "cell": [[0.000, 6.801, 6.801], [6.801, 0.000, 6.801], [6.801, 6.801, 0.000]],
  "species": ["Y", "Y", "Y", "Y", "Y", "Y", "Y", "Y", "Y", "Y", "Y", "Y", "Y", "Y", "Y", "Y", "Hg", "Hg", "Hg", "Hg", "Rh", "Rh", "Rh", "Rh"],
  "fractional_positions": [[0.187, 0.187, 0.813], [0.187, 0.813, 0.187], [0.187, 0.813, 0.813], [0.398, 0.398, 0.398], [0.398, 0.398, 0.806], [0.398, 0.806, 0.398], [0.560, 0.560, 0.940], [0.560, 0.940, 0.560], [0.560, 0.940, 0.940], [0.806, 0.398, 0.398], [0.813, 0.187, 0.187], [0.813, 0.187, 0.813], [0.813, 0.813, 0.187], [0.940, 0.560, 0.560], [0.940, 0.560, 0.940], [0.940, 0.940, 0.560], [0.165, 0.165, 0.165], [0.165, 0.165, 0.504], [0.165, 0.504, 0.165], [0.504, 0.165, 0.165], [0.179, 0.607, 0.607], [0.607, 0.179, 0.607], [0.607, 0.607, 0.179], [0.607, 0.607, 0.607]],
  "dos_ef_per_ev_cell": 16.89,
  "volume_a3_per_fu": 157.3,
  "e_form_mev_per_atom": -540,
  "e_above_lowest_polymorph_ev_per_atom": 0.000
}

---

Record 2
{
  "formula": "ScNiC3",
  "functional": "PBE",
  "state": "relaxed",
  "cell": [[4.129, 0.000, 0.000], [0.000, 4.129, 0.000], [0.000, 0.000, 4.129]],
  "species": ["Sc", "Ni", "C", "C", "C"],
  "fractional_positions": [[0.000, 0.000, 0.000], [0.500, 0.500, 0.500], [0.000, 0.000, 0.500], [0.000, 0.500, 0.000], [0.500, 0.000, 0.000]],
  "dos_ef_per_ev_cell": 3.30,
  "volume_a3_per_fu": 70.4,
  "e_form_mev_per_atom": 2714,
  "e_above_lowest_polymorph_ev_per_atom": 1.217
}

---

Record 3
{
  "formula": "Tl2In5Bi",
  "functional": "PBE",
  "state": "relaxed",
  "cell": [[1.573, -9.725, 0.000], [1.573, 9.725, 0.000], [0.000, 0.000, 16.752]],
  "species": ["Tl", "Tl", "Tl", "Tl", "In", "In", "In", "In", "In", "In", "In", "In", "In", "In", "Bi", "Bi"],
  "fractional_positions": [[0.124, 0.876, 0.603], [0.124, 0.876, 0.897], [0.876, 0.124, 0.103], [0.876, 0.124, 0.397], [0.045, 0.955, 0.077], [0.045, 0.955, 0.423], [0.211, 0.789, 0.076], [0.211, 0.789, 0.424], [0.234, 0.766, 0.750], [0.766, 0.234, 0.250], [0.789, 0.211, 0.576], [0.789, 0.211, 0.924], [0.955, 0.045, 0.577], [0.955, 0.045, 0.923], [0.110, 0.890, 0.250], [0.890, 0.110, 0.750]],
  "dos_ef_per_ev_cell": 7.97,
  "volume_a3_per_fu": 256.3,
  "e_form_mev_per_atom": 86,
  "e_above_lowest_polymorph_ev_per_atom": 0.000
}

---

Record 4
{
  "formula": "NdMgAl2Pd4",
  "functional": "PBE",
  "state": "relaxed",
  "cell": [[2.168, 1.252, 8.774], [-2.168, 1.252, 8.774], [0.000, -2.504, 8.774]],
  "species": ["Nd", "Mg", "Al", "Al", "Pd", "Pd", "Pd", "Pd"],
  "fractional_positions": [[0.000, 0.000, 0.000], [0.500, 0.500, 0.500], [0.237, 0.237, 0.237], [0.763, 0.763, 0.763], [0.131, 0.131, 0.131], [0.402, 0.402, 0.402], [0.598, 0.598, 0.598], [0.869, 0.869, 0.869]],
  "dos_ef_per_ev_cell": 3.71,
  "volume_a3_per_fu": 142.9,
  "e_form_mev_per_atom": -813
}

---

Record 5
{
  "formula": "Nd3Er4Tm4",
  "functional": "PBE",
  "state": "relaxed",
  "cell": [[3.552, 0.000, 0.000], [0.000, 4.998, 0.000], [-1.742, -2.492, 19.537]],
  "species": ["Nd", "Nd", "Nd", "Er", "Er", "Er", "Er", "Tm", "Tm", "Tm", "Tm"],
  "fractional_positions": [[0.000, 0.000, 0.000], [0.363, 0.362, 0.726], [0.637, 0.638, 0.274], [0.183, 0.183, 0.367], [0.454, 0.453, 0.908], [0.546, 0.547, 0.092], [0.817, 0.817, 0.633], [0.092, 0.092, 0.182], [0.272, 0.272, 0.545], [0.728, 0.728, 0.455], [0.908, 0.908, 0.818]],
  "dos_ef_per_ev_cell": 13.71,
  "volume_a3_per_fu": 346.9,
  "e_form_mev_per_atom": 22,
  "e_above_lowest_polymorph_ev_per_atom": 0.000
}

---

Record 6
{
  "formula": "ZrScTe2",
  "functional": "PBE",
  "state": "relaxed",
  "cell": [[7.949, -1.850, 0.000], [7.949, 1.850, 0.000], [-0.857, 0.000, 3.599]],
  "species": ["Zr", "Sc", "Te", "Te"],
  "fractional_positions": [[0.000, 0.000, 0.000], [0.750, 0.750, 0.249], [0.142, 0.142, 0.641], [0.358, 0.358, 0.856]],
  "dos_ef_per_ev_cell": 4.28,
  "volume_a3_per_fu": 105.9,
  "e_above_lowest_polymorph_ev_per_atom": 0.410
}